CrBiTe2N: relaxed, PBE-GGA.

Computed properties:
Polymorph energy (0 for the lowest one) ... 1075 meV/atom
Total magnetization ... 1.00 μB per atom
Calculated total energy ... -4.37 eV per atom
Uncorrected formation energy ... 1.2483 eV/atom
Calculated density ... 5.80 g/cm3

a b c (Å): 5.950 5.950 4.286
angles (deg): 90.00 90.00 90.00
Space group P4/mmm (No. 123)
Inequivalent atoms, fractional coordinates:
Cr1 0.000 0.000 0.000 x1
Bi1 0.500 0.500 0.500 x1
Te1 0.000 0.500 0.500 x2
N1 0.500 0.500 0.000 x1


Cu2Si2Pt: relaxed, PBE-GGA.

Computed properties:
Polymorph energy (0 for the lowest one) ... 0 meV/atom
Total magnetization ... 0.00 μB per atom
Calculated total energy ... -5.18 eV per atom
Uncorrected formation energy ... -0.1661 eV/atom
Calculated density ... 8.82 g/cm3

a b c (Å): 6.180 6.180 3.729
angles (deg): 90.00 90.00 90.00
Space group P4/mbm (No. 127)
Inequivalent atoms, fractional coordinates:
Cu1 0.153 0.347 0.000 x4
Si1 0.135 0.635 0.500 x4
Pt1 0.000 0.000 0.500 x2


Pr3Sm8Er: relaxed, PBE-GGA.

Computed properties:
Total magnetization ... 0.00 μB per atom
Calculated total energy ... -4.43 eV per atom
Formation energy from the elements ... 0.287 eV per atom
Calculated density ... 6.76 g/cm3

a b c (Å): 6.608 11.447 11.636
angles (deg): 90.00 90.00 90.00
Space group Immm (No. 71)
Inequivalent atoms, fractional coordinates:
Pr1 0.000 0.000 0.000 x2
Pr2 0.000 0.500 0.245 x4
Sm1 0.000 0.166 0.251 x8
Sm2 0.244 0.259 0.000 x8
Er1 0.000 0.000 0.500 x2